(1)
DFT (GGA-PBE) results for Pr2HoEr3S6 after structural relaxation.

Structure (extended XYZ):
```
12
Lattice="3.9147 0.0000 0.0000 0.0000 7.9830 0.2270 -1.9574 -2.3620 8.3031" Properties=species:S:1:pos:R:3 pbc="T T T"
Pr 1.9574 3.7359 5.6711
Pr 0.0000 1.8851 2.8589
Ho 1.9574 0.0000 0.0000
Er 1.9574 3.9915 0.1135
Er 1.9574 -0.2345 5.5307
Er 0.0000 5.8555 2.9994
S 0.0000 5.8617 5.7593
S 1.9574 3.9968 2.8123
S 1.9574 -0.2407 2.7707
S 1.9574 -0.3525 8.2674
S 0.0000 5.9735 0.2627
S 0.0000 1.6242 5.7177
```

Properties
For the total magnetic moment, the calculation gives 0.00 μB/atom. The value obtained for the raw formation energy is -23.74 eV per formula unit. Its space group is C2/m, No. 12.

---

(2)
DFT (GGA-PBE) results for PrNd4Er5 after structural relaxation.

Structure (extended XYZ):
```
10
Lattice="-5.6142 -2.2295 0.2162 -0.1235 -7.6191 2.7195 -3.5376 1.4067 7.1392" Properties=species:S:1:pos:R:3 pbc="T T T"
Pr -1.1386 -0.4522 0.0438
Nd -5.0844 -2.5937 5.8012
Nd -6.9581 -5.9708 6.8162
Nd -2.0238 -2.3546 3.2475
Nd -3.8975 -5.7317 4.2625
Er -7.7623 -3.1436 8.3308
Er -3.0131 -7.0206 7.1764
Er -5.5197 -1.1265 2.8700
Er -0.7706 -5.0035 1.7156
Er -3.7979 -1.5083 0.1463
```

Properties
For the total magnetic moment, the calculation gives 0.00 μB/atom. As for the formation energy from the elements: 247 meV per atom. Its space group is I4mm, No. 107.

---

(3)
DFT (GGA-PBE) results for In2Ga2Si after structural relaxation.

Structure (extended XYZ):
```
10
Lattice="6.5880 0.0000 0.0000 0.0000 6.5880 0.0000 0.0000 0.0000 5.1890" Properties=species:S:1:pos:R:3 pbc="T T T"
Si 0.0000 0.0000 0.0000
Si 3.2940 3.2940 0.0000
Ga 2.3753 5.6693 0.0000
Ga 5.6693 4.2128 0.0000
Ga 4.2128 0.9187 0.0000
Ga 0.9187 2.3753 0.0000
In 1.2035 4.4975 2.5945
In 4.4975 5.3845 2.5945
In 5.3845 2.0905 2.5945
In 2.0905 1.2035 2.5945
```

Properties
For the total magnetic moment, the calculation gives 0.00 μB/atom. The value obtained for the raw formation energy is 0.88 eV per formula unit. Its space group is P4/mbm, No. 127.

---

(4)
DFT (GGA-PBE) results for PrSmErSn after structural relaxation.

Structure (extended XYZ):
```
4
Lattice="5.5102 0.0000 0.0000 2.7551 4.7720 0.0000 2.7551 1.5907 4.4991" Properties=species:S:1:pos:R:3 pbc="T T T"
Pr 0.0000 0.0000 0.0000
Sn 2.7551 1.5907 1.1248
Sm 5.5102 3.1813 2.2495
Er 8.2653 4.7720 3.3743
```

Properties
For the total magnetic moment, the calculation gives 0.00 μB/atom. As for the formation energy from the elements: -258 meV per atom. Its space group is F-43m, No. 216.